(1)
A plane-wave DFT calculation with PBE was carried out for a relaxed Ge4Mo2Os crystal.

a b c (Å): 3.160 5.622 7.396
angles (deg): 110.90 102.33 90.00
Fractional coordinates of all 7 atoms:
Ge1 0.882 0.220 0.765
Ge2 0.118 0.780 0.235
Ge3 0.612 0.320 0.224
Ge4 0.388 0.680 0.776
Mo1 0.752 0.753 0.505
Mo2 0.248 0.247 0.495
Os1 0.000 0.000 0.000

Output
- E_form: 0.018 eV/atom
- Size of the total moment: 0.00 μB per formula unit
- Polymorph energy (0 for the lowest one): 0.0 meV/atom


(2)
A plane-wave DFT calculation with PBE was carried out for a relaxed Ge4Mo2Os crystal.

a b c (Å): 4.780 4.780 7.150
angles (deg): 70.47 70.47 90.00
Fractional coordinates of all 7 atoms:
Mo1 0.401 0.401 0.197
Mo2 0.599 0.599 0.803
Os1 0.000 0.000 0.000
Ge1 0.199 0.199 0.601
Ge2 0.801 0.801 0.399
Ge3 0.000 0.500 0.000
Ge4 0.500 0.000 0.000

Output
- E_form: 0.809 eV/atom
- Size of the total moment: 1.79 μB per formula unit
- Polymorph energy (0 for the lowest one): 790.8 meV/atom


(3)
A plane-wave DFT calculation with PBE was carried out for a relaxed GeMoOs2 crystal.

a b c (Å): 2.957 2.957 6.706
angles (deg): 90.00 90.00 90.00
Fractional coordinates of all 4 atoms:
Mo1 0.500 0.500 0.500
Os1 0.000 0.000 0.769
Os2 0.000 0.000 0.231
Ge1 0.500 0.500 0.000

Output
- E_form: 0.119 eV/atom
- Size of the total moment: 0.00 μB per formula unit